(1)
VASP calculation (PBE) on a geometry-optimized NiTeI2N structure.

Cell lengths 4.8456, 4.8456, 4.8715 Å; angles 90.00, 90.00, 90.00 degrees
Sites, in units of the cell vectors:
Ni1 0.0000 0.0000 0.0000
Te1 0.5000 0.5000 0.0000
I1 0.0000 0.5000 0.5000
I2 0.5000 0.0000 0.5000
N1 0.5000 0.5000 0.5000

## Properties
energy = -13.817 eV per cell
relative energy among the computed polymorphs = 643.1 meV/atom
DOS(E_F) = 10.8 states/eV/f.u.
total magnetic moment = 0.000 μB per atom


(2)
VASP calculation (PBE) on a geometry-optimized TaHg2Te structure.

Cell lengths 3.0537, 4.4290, 6.8140 Å; angles 90.00, 90.00, 90.00 degrees
Sites, in units of the cell vectors:
Ta1 0.0000 0.0000 0.0000
Hg1 0.5000 0.5000 0.2156
Hg2 0.5000 0.5000 0.7844
Te1 0.0000 0.0000 0.5000

## Properties
energy = -13.307 eV per cell
DOS(E_F) = 3.4 states/eV/f.u.
total magnetic moment = 0.000 μB per atom


(3)
VASP calculation (PBE) on a geometry-optimized Be3AlTc structure.

Cell lengths 4.0846, 4.0846, 4.0846 Å; angles 90.00, 90.00, 90.00 degrees
Sites, in units of the cell vectors:
Be1 0.0000 0.0000 0.5000
Be2 0.0000 0.5000 0.0000
Be3 0.5000 0.0000 0.0000
Al1 0.0000 0.0000 0.0000
Tc1 0.5000 0.5000 0.5000

## Properties
energy of formation = 1.308 eV per atom
energy = -18.749 eV per cell
relative energy among the computed polymorphs = 441.1 meV/atom
DOS(E_F) = 2.2 states/eV/f.u.
total magnetic moment = 0.402 μB per atom


Look up the energy of the first one.
-13.817 eV per cell


total magnetic moment of number 3 (Be3AlTc)?
0.402 μB per atom


Among the records above, which one has the lowest energy?
Be3AlTc